VASP calculation (meta-GGA SCAN) on a PBEsol-optimized structure of La2PRh.

Computed properties:
For the energy, the calculation gives -33.77 eV per atom. As for the volume: 25.48 Å³/atom. The formation energy comes out at -1.171 eV per atom. As for the density of states at the Fermi level: 0.406 states/eV per cell. The value obtained for the spin magnetization is 0.00 μB/cell. Its crystal system is tetragonal.

```
data_La2PRh
_symmetry_space_group_name_H-M 'P 1'
_symmetry_Int_Tables_number 1
_cell_length_a 4.167
_cell_length_b 4.167
_cell_length_c 5.871
_cell_angle_alpha 90.00
_cell_angle_beta 90.00
_cell_angle_gamma 90.00
loop_
_symmetry_equiv_pos_as_xyz
'x,y,z'
loop_
_atom_site_label
_atom_site_type_symbol
_atom_site_fract_x
_atom_site_fract_y
_atom_site_fract_z
La1 La 0.000 0.000 0.875
P1 P 0.000 0.000 0.375
Rh1 Rh 0.500 0.500 0.874
La2 La 0.500 0.500 0.377
```

VASP calculation (meta-GGA SCAN) on a PBEsol-optimized structure of AgAu.

Computed properties:
For the energy, the calculation gives -50.33 eV per atom. As for the volume: 16.72 Å³/atom. The formation energy comes out at -0.070 eV per atom. As for the density of states at the Fermi level: 1.060 states/eV per cell. The value obtained for the spin magnetization is 0.00 μB/cell. Its crystal system is monoclinic.

```
data_AgAu
_symmetry_space_group_name_H-M 'P 1'
_symmetry_Int_Tables_number 1
_cell_length_a 2.842
_cell_length_b 4.953
_cell_length_c 5.554
_cell_angle_alpha 116.77
_cell_angle_beta 104.82
_cell_angle_gamma 90.00
loop_
_symmetry_equiv_pos_as_xyz
'x,y,z'
loop_
_atom_site_label
_atom_site_type_symbol
_atom_site_fract_x
_atom_site_fract_y
_atom_site_fract_z
Ag1 Ag 0.624 0.959 0.249
Ag2 Ag 0.376 0.041 0.751
Au1 Au 0.875 0.538 0.749
Au2 Au 0.125 0.462 0.251
```

VASP calculation (meta-GGA SCAN) on a PBEsol-optimized structure of Cs2NaHgIr.

Computed properties:
For the energy, the calculation gives -43.27 eV per atom. As for the volume: 38.62 Å³/atom. The formation energy comes out at 0.553 eV per atom. As for the density of states at the Fermi level: 3.236 states/eV per cell. The value obtained for the spin magnetization is 0.00 μB/cell. Its crystal system is tetragonal.

```
data_Cs2NaHgIr
_symmetry_space_group_name_H-M 'P 1'
_symmetry_Int_Tables_number 1
_cell_length_a 5.663
_cell_length_b 5.839
_cell_length_c 5.839
_cell_angle_alpha 90.00
_cell_angle_beta 90.00
_cell_angle_gamma 90.00
loop_
_symmetry_equiv_pos_as_xyz
'x,y,z'
loop_
_atom_site_label
_atom_site_type_symbol
_atom_site_fract_x
_atom_site_fract_y
_atom_site_fract_z
Hg1 Hg 0.500 0.500 0.500
Cs1 Cs 0.000 0.000 0.500
Cs2 Cs 0.000 0.500 0.000
Na1 Na 0.500 0.000 0.000
Ir1 Ir 0.000 0.000 0.000
```

VASP calculation (meta-GGA SCAN) on a PBEsol-optimized structure of CaMn4O8.

Computed properties:
For the energy, the calculation gives -12.52 eV per atom. As for the volume: 11.69 Å³/atom. The formation energy from raw total energies is -2.33 eV per atom. As for the density of states at the Fermi level: 5.251 states/eV per cell. The value obtained for the spin magnetization is 10.00 μB/cell. Its crystal system is monoclinic.

```
data_CaMn4O8
_symmetry_space_group_name_H-M 'P 1'
_symmetry_Int_Tables_number 1
_cell_length_a 5.613
_cell_length_b 5.802
_cell_length_c 5.627
_cell_angle_alpha 89.99
_cell_angle_beta 59.92
_cell_angle_gamma 75.63
loop_
_symmetry_equiv_pos_as_xyz
'x,y,z'
loop_
_atom_site_label
_atom_site_type_symbol
_atom_site_fract_x
_atom_site_fract_y
_atom_site_fract_z
O1 O 0.731 0.324 0.885
O2 O 0.231 0.314 0.878
Ca1 Ca 0.500 0.000 0.500
O3 O 0.276 0.688 0.612
Mn1 Mn 0.500 0.500 0.753
O4 O 0.231 0.314 0.392
Mn2 Mn 0.995 0.511 0.752
Mn3 Mn 0.005 0.489 0.248
O5 O 0.269 0.676 0.115
Mn4 Mn 0.500 0.500 0.247
O6 O 0.769 0.686 0.122
O7 O 0.724 0.312 0.388
O8 O 0.769 0.686 0.608
```

VASP calculation (meta-GGA SCAN) on a PBEsol-optimized structure of Ca2PtBr.

Computed properties:
For the energy, the calculation gives -28.50 eV per atom. As for the volume: 26.45 Å³/atom. The formation energy from raw total energies is -1.25 eV per atom. As for the density of states at the Fermi level: 1.709 states/eV per cell. The value obtained for the spin magnetization is 0.00 μB/cell. Its crystal system is orthorhombic.

```
data_Ca2PtBr
_symmetry_space_group_name_H-M 'P 1'
_symmetry_Int_Tables_number 1
_cell_length_a 3.733
_cell_length_b 3.748
_cell_length_c 8.010
_cell_angle_alpha 103.53
_cell_angle_beta 103.48
_cell_angle_gamma 90.00
loop_
_symmetry_equiv_pos_as_xyz
'x,y,z'
loop_
_atom_site_label
_atom_site_type_symbol
_atom_site_fract_x
_atom_site_fract_y
_atom_site_fract_z
Ca1 Ca 0.816 0.316 0.632
Ca2 Ca 0.029 0.029 0.058
Pt1 Pt 0.452 0.452 0.903
Br1 Br 0.204 0.704 0.408
```

VASP calculation (meta-GGA SCAN) on a PBEsol-optimized structure of Fe7O8.

Computed properties:
For the energy, the calculation gives -13.19 eV per atom. As for the volume: 9.75 Å³/atom. The formation energy from raw total energies is -1.41 eV per atom. As for the density of states at the Fermi level: 5.094 states/eV per cell. The value obtained for the spin magnetization is 26.00 μB/cell. Its crystal system is cubic.

```
data_Fe7O8
_symmetry_space_group_name_H-M 'P 1'
_symmetry_Int_Tables_number 1
_cell_length_a 5.914
_cell_length_b 5.914
_cell_length_c 5.914
_cell_angle_alpha 60.00
_cell_angle_beta 60.00
_cell_angle_gamma 60.00
loop_
_symmetry_equiv_pos_as_xyz
'x,y,z'
loop_
_atom_site_label
_atom_site_type_symbol
_atom_site_fract_x
_atom_site_fract_y
_atom_site_fract_z
O1 O 0.268 0.732 0.268
O2 O 0.732 0.268 0.268
O3 O 0.250 0.250 0.250
Fe1 Fe 0.500 0.000 0.000
Fe2 Fe 0.000 0.000 0.500
Fe3 Fe 0.500 0.500 0.000
Fe4 Fe 0.000 0.500 0.000
O4 O 0.732 0.268 0.732
O5 O 0.732 0.732 0.268
Fe5 Fe 0.500 0.500 0.500
O6 O 0.750 0.750 0.750
O7 O 0.268 0.268 0.732
Fe6 Fe 0.000 0.500 0.500
Fe7 Fe 0.500 0.000 0.500
O8 O 0.268 0.732 0.732
```

- volume of number 4 (CaMn4O8)?
  11.69 Å³/atom